Record 1
This record from Alexandria via LeMat-Bulk describes crystalline Li5Ac2Cu5 at its relaxed geometry. The functional is PBE.

a b c (Å): 4.460 5.509 9.270
angles (deg): 90.00 90.00 90.00
Positions (direct):
Ac1 0.000 0.000 0.500
Ac2 0.000 0.500 0.000
Cu1 0.000 0.000 0.851
Cu2 0.000 0.500 0.659
Cu3 0.500 0.000 0.000
Cu4 0.000 0.000 0.149
Cu5 0.000 0.500 0.341
Li1 0.500 0.755 0.758
Li2 0.500 0.500 0.500
Li3 0.500 0.245 0.758
Li4 0.500 0.755 0.242
Li5 0.500 0.245 0.242

Properties
Total magnetic moment (μB per atom): 0.0000
ΔE_f (eV per formula unit): -0.7
DOS at the Fermi energy (states/eV/f.u.): 5.5


Record 2
This record from Alexandria via LeMat-Bulk describes crystalline ScMn3Cr at its relaxed geometry. The functional is PBE.

a b c (Å): 4.605 4.605 4.605
angles (deg): 90.00 90.00 90.00
Each line ends with the local moment (μB).
Positions (direct):
Mn1 0.500 0.000 0.000  3.74
Mn2 0.000 0.500 0.000  3.30
Mn3 0.000 0.000 0.500  2.86
Sc1 0.000 0.000 0.000  -0.56
Cr1 0.500 0.500 0.500  3.73

Properties
Total magnetic moment (μB per atom): 2.7825
Energy above the lowest structure with this stoichiometry (eV/atom): 0.940
ΔE_f (eV per formula unit): 7.7
DOS at the Fermi energy (states/eV/f.u.): 3.7


Record 3
This record from Alexandria via LeMat-Bulk describes crystalline La3Pr3Y2 at its relaxed geometry. The functional is PBE.

a b c (Å): 5.229 5.237 11.018
angles (deg): 103.75 103.73 90.00
Positions (direct):
Pr1 0.000 0.500 0.000
Pr2 0.872 0.872 0.744
Pr3 0.128 0.128 0.256
Y1 0.251 0.751 0.501
Y2 0.749 0.249 0.499
La1 0.500 0.000 0.000
La2 0.627 0.627 0.253
La3 0.373 0.373 0.747

Properties
Total magnetic moment (μB per atom): 0.0000
Energy above the lowest structure with this stoichiometry (eV/atom): 0.000
ΔE_f (eV per formula unit): 0.1
DOS at the Fermi energy (states/eV/f.u.): 13.6


Record 4
This record from Alexandria via LeMat-Bulk describes crystalline YCd at its relaxed geometry. The functional is PBE.

a b c (Å): 5.267 3.666 6.366
angles (deg): 73.26 114.44 90.00
Each line ends with the local moment (μB).
Positions (direct):
Cd1 0.980 0.020 0.961  0.01
Cd2 0.770 0.730 0.539  0.01
Y1 0.238 0.262 0.476  0.12
Y2 0.512 0.488 0.024  0.12

Properties
Total magnetic moment (μB per atom): 0.1304
ΔE_f (eV per formula unit): -0.5
DOS at the Fermi energy (states/eV/f.u.): 2.3


Record 5
This record from Alexandria via LeMat-Bulk describes crystalline TiInGa at its relaxed geometry. The functional is PBE.

a b c (Å): 2.938 4.698 4.698
angles (deg): 120.00 90.00 90.00
Each line ends with the local moment (μB).
Positions (direct):
Ti1 0.333 0.333 0.667  0.70
Ga1 0.836 0.000 0.000  -0.01
In1 0.831 0.667 0.333  0.00

Properties
Total magnetic moment (μB per atom): 0.2890
Energy above the lowest structure with this stoichiometry (eV/atom): 0.171
ΔE_f (eV per formula unit): -0.1
DOS at the Fermi energy (states/eV/f.u.): 2.2


Record 6
This record from Alexandria via LeMat-Bulk describes crystalline Tb4Al3Zn at its relaxed geometry. The functional is PBE.

a b c (Å): 3.601 3.601 14.512
angles (deg): 90.00 90.00 90.00
Positions (direct):
Zn1 0.500 0.500 0.000
Tb1 0.000 0.000 0.879
Tb2 0.000 0.000 0.374
Tb3 0.000 0.000 0.121
Tb4 0.000 0.000 0.626
Al1 0.500 0.500 0.500
Al2 0.500 0.500 0.753
Al3 0.500 0.500 0.247

Properties
Total magnetic moment (μB per atom): 0.0000
Energy above the lowest structure with this stoichiometry (eV/atom): 0.000
ΔE_f (eV per formula unit): -3.1
DOS at the Fermi energy (states/eV/f.u.): 4.5


Record 7
This record from Alexandria via LeMat-Bulk describes crystalline Ba2YSb at its relaxed geometry. The functional is PBE.

a b c (Å): 5.168 5.168 5.478
angles (deg): 90.00 90.00 90.00
Each line ends with the local moment (μB).
Positions (direct):
Y1 0.000 0.500 0.500  0.33
Sb1 0.500 0.000 0.500  -0.02
Ba1 0.500 0.500 0.000  0.12
Ba2 0.000 0.000 0.000  0.12

Properties
Formation energy from raw total energies (kJ/mol of formula units): -120
Total magnetic moment (μB per atom): 0.2942
DOS at the Fermi energy (states/eV/f.u.): 4.4


Record 8
This record from Alexandria via LeMat-Bulk describes crystalline Cs2Tl2HgTe2 at its relaxed geometry. The functional is PBE.

a b c (Å): 4.829 8.660 9.398
angles (deg): 59.70 75.11 73.81
Positions (direct):
Cs1 0.423 0.779 0.374
Cs2 0.577 0.221 0.626
Hg1 0.000 0.000 0.000
Te1 0.866 0.513 0.755
Te2 0.134 0.487 0.245
Tl1 0.778 0.291 0.153
Tl2 0.222 0.709 0.847

Properties
Formation energy from raw total energies (kJ/mol of formula units): -373
Total magnetic moment (μB per atom): 0.0000


| no. | calculated volume (Å³/cell) |
| --- | --- |
| 1 | 228 |
| 2 | 98 |
| 3 | 284 |
| 4 | 106 |
| 5 | 56 |
| 6 | 188 |
| 7 | 146 |
| 8 | 323 |